An optimized crystal structure of Mn4AlC2, computed with PBE-GGA.

```
data_Mn4AlC2
_chemical_formula_sum 'Mn16 Al4 C8'
_cell_length_a 2.9196
_cell_length_b 10.1188
_cell_length_c 10.0739
_cell_angle_alpha 90.00
_cell_angle_beta 90.00
_cell_angle_gamma 90.00
_symmetry_space_group_name_H-M 'C m c m'
_symmetry_Int_Tables_number 63
_symmetry_space_group_name_Hall '-C 2c 2'
loop_
_atom_site_label
_atom_site_type_symbol
_atom_site_fract_x
_atom_site_fract_y
_atom_site_fract_z
Mn1 Mn 0.0000 0.0000 0.0000
Mn2 Mn 0.0000 0.2500 0.1008
Mn3 Mn 0.0000 0.4023 0.7500
Al1 Al 0.0000 0.1085 0.7500
C1 C 0.0000 0.3657 0.5556
```


An optimized crystal structure of Mn4Al2C, computed with PBE-GGA.

```
data_Mn4Al2C
_chemical_formula_sum 'Mn8 Al4 C2'
_cell_length_a 3.7666
_cell_length_b 3.7666
_cell_length_c 12.8054
_cell_angle_alpha 90.00
_cell_angle_beta 90.00
_cell_angle_gamma 90.00
_symmetry_space_group_name_H-M 'I 4/m m m'
_symmetry_Int_Tables_number 139
_symmetry_space_group_name_Hall '-I 4 2'
loop_
_atom_site_label
_atom_site_type_symbol
_atom_site_fract_x
_atom_site_fract_y
_atom_site_fract_z
Mn1 Mn 0.0000 0.0000 0.1605
Mn2 Mn 0.0000 0.5000 0.0000
Al1 Al 0.0000 0.0000 0.3609
C1 C 0.0000 0.0000 0.0000
```


An optimized crystal structure of MnAlC, computed with PBE-GGA.

```
data_MnAlC
_chemical_formula_sum 'Mn6 Al6 C6'
_cell_length_a 3.5729
_cell_length_b 3.5729
_cell_length_c 17.2429
_cell_angle_alpha 90.00
_cell_angle_beta 90.00
_cell_angle_gamma 120.00
_symmetry_space_group_name_H-M 'R -3 m'
_symmetry_Int_Tables_number 166
_symmetry_space_group_name_Hall '-R 3 2"'
loop_
_atom_site_label
_atom_site_type_symbol
_atom_site_fract_x
_atom_site_fract_y
_atom_site_fract_z
Mn1 Mn 0.0000 0.0000 0.1300
Al1 Al 0.0000 0.0000 0.3821
C1 C 0.0000 0.0000 0.2587
```


An optimized crystal structure of MnAlMo2C, computed with PBE-GGA.

```
data_MnAlMo2C
_chemical_formula_sum 'Mn1 Al1 Mo2 C1'
_cell_length_a 4.1870
_cell_length_b 4.1870
_cell_length_c 3.8247
_cell_angle_alpha 90.00
_cell_angle_beta 90.00
_cell_angle_gamma 90.00
_symmetry_space_group_name_H-M 'P 4/m m m'
_symmetry_Int_Tables_number 123
_symmetry_space_group_name_Hall '-P 4 2'
loop_
_atom_site_label
_atom_site_type_symbol
_atom_site_fract_x
_atom_site_fract_y
_atom_site_fract_z
Mn1 Mn 0.0000 0.0000 0.0000
Al1 Al 0.5000 0.5000 0.0000
Mo1 Mo 0.0000 0.5000 0.5000
C1 C 0.0000 0.0000 0.5000
```


| no. | energy of formation (eV per atom) | energy (eV per cell) | M_tot (μB/atom) |
| --- | --- | --- | --- |
| 1 | -0.03 | -236.3 | 1.00 |
| 2 | 0.00 | -106.8 | 1.24 |
| 3 | 0.38 | -126.0 | 0.79 |
| 4 | -0.03 | -44.0 | 0.48 |